1.
DFT (PBE) results for crystalline CrBi3Ir at its relaxed geometry.

Calculated values
**ΔE to the lowest computed polymorph**: 0.000 eV per atom
**Final energy**: -24.9 eV for the cell shown
**Total moment**: 0.00 μB/atom
**ΔE_f**: 1.05 eV/atom

a = 5.046 Å, b = 5.046 Å, c = 5.046 Å
α = 90.00°, β = 90.00°, γ = 90.00°
Space group Pm-3m (No. 221)
One atom of each set of equivalent atoms:
Cr 0.000 0.000 0.000 x1
Bi 0.000 0.000 0.500 x3
Ir 0.500 0.500 0.500 x1


2.
DFT (PBE) results for crystalline La5AgRu at its relaxed geometry.

Calculated values
**Final energy**: -150.7 eV for the cell shown
**Total moment**: 0.00 μB/atom
**ΔE_f**: -0.13 eV/atom

a = 10.015 Å, b = 7.469 Å, c = 12.260 Å
α = 90.00°, β = 107.46°, γ = 90.00°
Space group C2/c (No. 15)
One atom of each set of equivalent atoms:
La 0.000 0.022 0.250 x4
La 0.120 0.325 0.558 x8
La 0.243 0.182 0.132 x8
Ag 0.000 0.435 0.250 x4
Ru 0.000 0.000 0.000 x4


3.
DFT (PBE) results for crystalline Sm5ThTl3 at its relaxed geometry.

Calculated values
**Final energy**: -80.4 eV for the cell shown
**Total moment**: 0.11 μB/atom
**ΔE_f**: -0.23 eV/atom

a = 9.6057 Å, b = 9.6057 Å, c = 6.7771 Å
α = 90.00°, β = 90.00°, γ = 120.00°
Space group P6_3/mcm (No. 193)
One atom of each set of equivalent atoms:
Sm 0.0000 0.3255 0.2500 x6
Sm 0.3333 0.6667 0.0000 x4
Th 0.0000 0.0000 0.0000 x2
Tl 0.0000 0.3418 0.7500 x6


4.
DFT (PBE) results for crystalline Hf2TaNi9 at its relaxed geometry.

Calculated values
**Final energy**: -88.6 eV for the cell shown
**Total moment**: 0.00 μB/atom
**ΔE_f**: -0.40 eV/atom

a = 3.719 Å, b = 3.719 Å, c = 11.131 Å
α = 90.00°, β = 90.00°, γ = 90.00°
Space group P4/mmm (No. 123)
One atom of each set of equivalent atoms:
Hf 0.000 0.000 0.168 x2
Ta 0.000 0.000 0.500 x1
Ni 0.000 0.500 0.000 x2
Ni 0.000 0.500 0.339 x4
Ni 0.500 0.500 0.169 x2
Ni 0.500 0.500 0.500 x1


5.
DFT (PBE) results for crystalline Dy3CoPd at its relaxed geometry.

Calculated values
**ΔE to the lowest computed polymorph**: 0.000 eV per atom
**Final energy**: -113.2 eV for the cell shown
**Total moment**: 0.00 μB/atom
**ΔE_f**: -0.44 eV/atom

a = 15.465 Å, b = 3.795 Å, c = 7.976 Å
α = 90.00°, β = 91.64°, γ = 90.00°
Space group C2/m (No. 12)
One atom of each set of equivalent atoms:
Dy 0.059 0.000 0.313 x4
Dy 0.104 0.500 0.950 x4
Dy 0.239 0.000 0.694 x4
Co 0.215 0.000 0.064 x4
Pd 0.094 0.500 0.577 x4


6.
DFT (PBE) results for crystalline Ba2AsAu at its relaxed geometry.

Calculated values
**Final energy**: -43.4 eV for the cell shown
**Total moment**: 0.00 μB/atom
**ΔE_f**: -0.67 eV/atom

a = 4.6234 Å, b = 4.6234 Å, c = 25.7789 Å
α = 90.00°, β = 90.00°, γ = 120.00°
Space group R3m (No. 160, hexagonal axes)
One atom of each set of equivalent atoms:
Ba 0.0000 0.0000 0.0000 x3
Ba 0.0000 0.0000 0.1726 x3
As 0.0000 0.0000 0.7592 x3
Au 0.0000 0.0000 0.4158 x3


7.
DFT (PBE) results for crystalline La2Ag3 at its relaxed geometry.

Calculated values
**ΔE to the lowest computed polymorph**: 0.204 eV per atom
**Final energy**: -18.7 eV for the cell shown
**Total moment**: 0.00 μB/atom
**ΔE_f**: -0.06 eV/atom

a = 4.8033 Å, b = 4.8033 Å, c = 6.9592 Å
α = 90.00°, β = 90.00°, γ = 120.00°
Space group P-3m1 (No. 164)
One atom of each set of equivalent atoms:
La 0.3333 0.6667 0.1762 x2
Ag 0.0000 0.0000 0.5000 x1
Ag 0.3333 0.6667 0.6297 x2


8.
DFT (PBE) results for crystalline Na2SbO2 at its relaxed geometry.

Calculated values
**ΔE to the lowest computed polymorph**: 0.000 eV per atom
**Energy relative to the elements, uncorrected**: -646 kJ/mol of formula units
**Final energy**: -93.5 eV for the cell shown
**Total moment**: 0.00 μB/atom

a = 10.011 Å, b = 5.792 Å, c = 6.322 Å
α = 90.00°, β = 90.00°, γ = 90.00°
Space group Cmcm (No. 63)
One atom of each set of equivalent atoms:
Na 0.199 0.000 0.000 x8
Sb 0.000 0.489 0.250 x4
O 0.159 0.285 0.250 x8